# AcGePbO5, relaxed, DFT GGA-PBE
data_AcGePbO5
_space_group_name_H-M_alt 'C 1 2/c 1'
_space_group_IT_number 15
_cell_length_a 7.216
_cell_length_b 9.652
_cell_length_c 8.628
_cell_angle_alpha 90.00
_cell_angle_beta 107.81
_cell_angle_gamma 90.00
loop_
_space_group_symop_operation_xyz
'x,y,z'
'-x,-y,-z'
'-x,y,-z+1/2'
'x,-y,z+1/2'
'x+1/2,y+1/2,z'
'-x+1/2,-y+1/2,-z'
'-x+1/2,y+1/2,-z+1/2'
'x+1/2,-y+1/2,z+1/2'
loop_
_atom_site_label
_atom_site_type_symbol
_atom_site_fract_x
_atom_site_fract_y
_atom_site_fract_z
_atom_site_occupancy
Ac1 Ac 0.000 0.000 0.000 1
Ge1 Ge 0.000 0.318 0.250 1
Pb1 Pb 0.000 0.350 0.750 1
O1 O 0.000 0.123 0.750 1
O2 O 0.138 0.435 0.404 1
O3 O 0.144 0.201 0.174 1
# Total DFT energy (no corrections) (eV/atom): -6.53